Entry from the Alexandria database: a relaxed Sb2OsO crystal (PBE).

Computed properties:
Space-group type: I-42d
Formation energy from raw total energies (eV/f.u.): 0.6

Geometry as POSCAR:
```
Sb2OsO
1.0
5.635 0.000 0.000
0.000 5.635 0.000
2.818 2.818 5.558
Sb Os O
4 2 2
Direct
0.595 0.125 0.250
0.155 0.625 0.250
0.375 0.405 0.750
0.875 0.845 0.750
0.000 0.000 0.000
0.750 0.250 0.500
0.500 0.500 0.000
0.250 0.750 0.500
```